The following is a GGA-PBE calculation of Er3Si4Pd7 after structural relaxation, from Alexandria via LeMat-Bulk.

Properties
Crystal system ... monoclinic
DOS at the Fermi energy ... 6.8 states/eV per cell
Energy ... -6.06 eV/atom
ΔE_f (raw) ... -0.9315 eV per atom
Spin magnetization ... 0.0000 μB per atom

Cell and atoms, written as extended XYZ:
```
14
Lattice="7.740 -2.011 0.000 7.740 2.011 0.000 -5.403 0.000 7.672" Properties=species:S:1:pos:R:3 pbc="T T T"
Er 0.000 0.000 0.000
Er 3.266 0.000 2.514
Er 6.812 0.000 5.158
Si -2.766 0.000 6.343
Si 1.231 0.000 5.611
Si 8.847 0.000 2.061
Si 12.844 0.000 1.329
Pd -2.701 0.000 3.836
Pd 0.350 0.000 3.241
Pd -0.471 0.000 7.394
Pd 3.698 0.000 5.554
Pd 6.380 0.000 2.118
Pd 10.549 0.000 0.279
Pd 9.728 0.000 4.432
```